{
  "formula": "Pr6MgCu2",
  "functional": "PBE-GGA",
  "state": "relaxed",
  "dos_ef_per_ev_cell": 22.5,
  "mass_density_g_cm3": 6.17,
  "delta_e_f_mev_per_atom": -57.3,
  "volume_a3_per_atom": 29.83,
  "lattice_angstrom": [[-5.056, 3.112, 6.599], [-4.373, -5.677, -5.238], [6.871, -4.489, 3.381]],
  "species": ["Pr", "Pr", "Pr", "Pr", "Pr", "Pr", "Pr", "Pr", "Pr", "Pr", "Pr", "Pr", "Mg", "Mg", "Cu", "Cu", "Cu", "Cu"],
  "fractional_positions": [[0.537, 0.720, 0.817], [0.463, 0.280, 0.183], [0.097, 0.280, 0.817], [0.903, 0.720, 0.183], [0.803, 0.758, 0.561], [0.197, 0.242, 0.439], [0.197, 0.758, 0.956], [0.803, 0.242, 0.044], [0.698, 0.379, 0.682], [0.302, 0.621, 0.318], [0.302, 0.984, 0.682], [0.698, 0.016, 0.318], [0.000, 0.500, 0.500], [0.000, 0.000, 0.000], [0.500, 0.384, 0.884], [0.500, 0.616, 0.116], [0.650, 0.000, 0.650], [0.350, 0.000, 0.350]]
}


{
  "formula": "AcPd4Pb",
  "functional": "PBE-GGA",
  "state": "relaxed",
  "dos_ef_per_ev_cell": 4.2,
  "mass_density_g_cm3": 11.61,
  "delta_e_f_mev_per_atom": -560.5,
  "volume_a3_per_atom": 20.50,
  "lattice_angstrom": [[-1.963, 2.654, -4.501], [1.469, -1.707, -5.107], [-3.752, -2.494, -3.296]],
  "species": ["Pb", "Ac", "Pd", "Pd", "Pd", "Pd"],
  "fractional_positions": [[0.000, 0.000, 0.000], [0.250, 0.250, 0.250], [0.626, 0.626, 0.123], [0.626, 0.123, 0.626], [0.626, 0.626, 0.626], [0.123, 0.626, 0.626]]
}


{
  "formula": "NaTcO3",
  "functional": "PBE-GGA",
  "state": "relaxed",
  "raw_formation_energy_ev_per_atom": -1.4153,
  "dos_ef_per_ev_cell": 2.9,
  "mass_density_g_cm3": 3.90,
  "volume_a3_per_atom": 14.37,
  "lattice_angstrom": [[14.420, 0.000, -1.174], [5.505, 1.786, -3.238], [-5.505, 1.786, 3.238]],
  "species": ["Na", "Na", "Tc", "Tc", "O", "O", "O", "O", "O", "O"],
  "fractional_positions": [[0.625, 0.022, 0.978], [0.375, 0.978, 0.022], [0.879, 0.027, 0.973], [0.121, 0.973, 0.027], [0.788, 0.257, 0.743], [0.212, 0.743, 0.257], [0.965, 0.402, 0.598], [0.035, 0.598, 0.402], [0.359, 0.809, 0.191], [0.641, 0.191, 0.809]]
}


{
  "formula": "NaCeHo2Se4",
  "functional": "PBE-GGA",
  "state": "relaxed",
  "raw_formation_energy_ev_per_atom": -1.7276,
  "dos_ef_per_ev_cell": 7.7,
  "mass_density_g_cm3": 6.70,
  "volume_a3_per_atom": 25.05,
  "lattice_angstrom": [[4.096, 0.000, 0.000], [0.000, 7.224, -0.196], [0.000, 2.508, 6.704]],
  "species": ["Na", "Ce", "Ho", "Ho", "Se", "Se", "Se", "Se"],
  "fractional_positions": [[0.000, 0.500, 0.500], [0.500, 0.500, 0.000], [0.000, 0.000, 0.000], [0.500, 0.000, 0.500], [0.000, 0.761, 0.743], [0.000, 0.239, 0.257], [0.500, 0.762, 0.247], [0.500, 0.238, 0.753]]
}


{
  "formula": "CaSbPb2O6",
  "functional": "PBE-GGA",
  "state": "relaxed",
  "raw_formation_energy_ev_per_atom": -1.5828,
  "dos_ef_per_ev_cell": 13.1,
  "mass_density_g_cm3": 7.62,
  "volume_a3_per_atom": 14.66,
  "lattice_angstrom": [[5.769, 0.000, 0.007], [0.000, 6.071, 0.000], [0.060, 0.000, 8.370]],
  "species": ["Ca", "Ca", "Sb", "Sb", "Pb", "Pb", "Pb", "Pb", "O", "O", "O", "O", "O", "O", "O", "O", "O", "O", "O", "O"],
  "fractional_positions": [[0.500, 0.000, 0.000], [0.000, 0.500, 0.500], [0.500, 0.000, 0.500], [0.000, 0.500, 0.000], [0.010, 0.955, 0.257], [0.510, 0.545, 0.757], [0.990, 0.045, 0.743], [0.490, 0.455, 0.243], [0.291, 0.676, 0.042], [0.791, 0.824, 0.542], [0.709, 0.324, 0.958], [0.209, 0.176, 0.458], [0.326, 0.723, 0.438], [0.826, 0.777, 0.938], [0.674, 0.277, 0.562], [0.174, 0.223, 0.062], [0.894, 0.549, 0.229], [0.394, 0.951, 0.729], [0.106, 0.451, 0.771], [0.606, 0.049, 0.271]]
}


{
  "formula": "SiAg3Rh",
  "functional": "PBE-GGA",
  "state": "relaxed",
  "raw_formation_energy_ev_per_atom": 1.2975,
  "dos_ef_per_ev_cell": 4.1,
  "de_polymorph_mev_per_atom": 514.1,
  "mass_density_g_cm3": 6.07,
  "volume_a3_per_atom": 24.89,
  "lattice_angstrom": [[-2.301, 0.449, 4.408], [-0.189, -4.972, 0.408], [4.427, 0.022, 2.308]],
  "species": ["Si", "Rh", "Ag", "Ag", "Ag"],
  "fractional_positions": [[0.500, 0.500, 0.500], [0.000, 0.000, 0.000], [0.000, 0.500, 0.000], [0.000, 0.000, 0.500], [0.500, 0.000, 0.000]]
}


{
  "formula": "Nd4AgPd2",
  "functional": "PBE-GGA",
  "state": "relaxed",
  "dos_ef_per_ev_cell": 14.0,
  "mass_density_g_cm3": 7.79,
  "delta_e_f_mev_per_atom": -481.8,
  "volume_a3_per_atom": 27.35,
  "lattice_angstrom": [[7.318, -0.734, -0.139], [-1.272, 7.101, 0.135], [-2.894, -3.303, 7.500]],
  "species": ["Nd", "Nd", "Nd", "Nd", "Nd", "Nd", "Nd", "Nd", "Ag", "Ag", "Pd", "Pd", "Pd", "Pd"],
  "fractional_positions": [[0.972, 0.213, 0.317], [0.381, 0.480, 0.201], [0.852, 0.599, 0.609], [0.753, 0.162, 0.777], [0.431, 0.029, 0.299], [0.227, 0.135, 0.723], [0.494, 0.740, 0.891], [0.905, 0.646, 0.183], [0.297, 0.720, 0.516], [0.030, 0.954, 0.984], [0.435, 0.386, 0.570], [0.770, 0.902, 0.435], [0.585, 0.217, 0.065], [0.115, 0.566, 0.930]]
}


{
  "formula": "Pr3Mg5Ag2",
  "functional": "PBE-GGA",
  "state": "relaxed",
  "dos_ef_per_ev_cell": 18.7,
  "de_polymorph_mev_per_atom": 0.0,
  "mass_density_g_cm3": 4.85,
  "delta_e_f_mev_per_atom": -194.4,
  "volume_a3_per_atom": 26.00,
  "lattice_angstrom": [[4.489, 0.000, 0.000], [0.000, 10.762, 0.000], [0.000, 0.000, 10.762]],
  "species": ["Pr", "Pr", "Pr", "Pr", "Pr", "Pr", "Mg", "Mg", "Mg", "Mg", "Mg", "Mg", "Mg", "Mg", "Mg", "Mg", "Ag", "Ag", "Ag", "Ag"],
  "fractional_positions": [[0.000, 0.320, 0.820], [0.000, 0.680, 0.180], [0.000, 0.180, 0.320], [0.000, 0.820, 0.680], [0.000, 0.000, 0.000], [0.000, 0.500, 0.500], [0.500, 0.219, 0.063], [0.500, 0.781, 0.937], [0.500, 0.937, 0.219], [0.500, 0.063, 0.781], [0.500, 0.281, 0.563], [0.500, 0.719, 0.437], [0.500, 0.563, 0.719], [0.500, 0.437, 0.281], [0.500, 0.000, 0.500], [0.500, 0.500, 0.000], [0.000, 0.115, 0.615], [0.000, 0.885, 0.385], [0.000, 0.385, 0.115], [0.000, 0.615, 0.885]]
}


{
  "formula": "Li2IrAu",
  "functional": "PBE-GGA",
  "state": "relaxed",
  "dos_ef_per_ev_cell": 2.9,
  "mass_density_g_cm3": 11.35,
  "delta_e_f_mev_per_atom": -138.9,
  "volume_a3_per_atom": 14.74,
  "lattice_angstrom": [[-3.369, 1.864, -3.057], [-4.676, 0.158, -1.508], [-1.519, 3.615, 2.701]],
  "species": ["Au", "Ir", "Li", "Li"],
  "fractional_positions": [[0.504, 0.504, 0.518], [0.246, 0.246, 0.227], [0.994, 0.994, 0.023], [0.756, 0.756, 0.731]]
}


{
  "formula": "Pm2SmGe2",
  "functional": "PBE-GGA",
  "state": "relaxed",
  "dos_ef_per_ev_cell": 5.7,
  "de_polymorph_mev_per_atom": 105.0,
  "mass_density_g_cm3": 6.88,
  "delta_e_f_mev_per_atom": -649.3,
  "volume_a3_per_atom": 28.27,
  "lattice_angstrom": [[-4.424, -2.456, 0.632], [0.957, -3.105, -5.370], [4.181, -6.391, 4.435]],
  "species": ["Pm", "Pm", "Pm", "Pm", "Sm", "Sm", "Ge", "Ge", "Ge", "Ge"],
  "fractional_positions": [[0.250, 0.689, 0.916], [0.750, 0.311, 0.084], [0.250, 0.310, 0.583], [0.750, 0.690, 0.417], [0.250, 0.000, 0.249], [0.750, 0.000, 0.751], [0.250, 0.795, 0.583], [0.750, 0.205, 0.417], [0.250, 0.205, 0.917], [0.750, 0.795, 0.083]]
}


{
  "formula": "RbSnAs2Br",
  "functional": "PBE-GGA",
  "state": "relaxed",
  "raw_formation_energy_ev_per_atom": 1.0049,
  "dos_ef_per_ev_cell": 4.2,
  "de_polymorph_mev_per_atom": 1069.7,
  "mass_density_g_cm3": 3.72,
  "volume_a3_per_atom": 38.71,
  "lattice_angstrom": [[5.726, 0.000, 0.000], [0.000, 5.726, 0.000], [0.000, 0.000, 5.903]],
  "species": ["As", "As", "Br", "Sn", "Rb"],
  "fractional_positions": [[0.000, 0.500, 0.000], [0.500, 0.000, 0.000], [0.000, 0.000, 0.500], [0.500, 0.500, 0.500], [0.000, 0.000, 0.000]]
}


{
  "formula": "Al5OsPd4",
  "functional": "PBE-GGA",
  "state": "relaxed",
  "dos_ef_per_ev_cell": 4.5,
  "mass_density_g_cm3": 8.68,
  "delta_e_f_mev_per_atom": -792.5,
  "volume_a3_per_atom": 14.37,
  "lattice_angstrom": [[3.078, 0.000, 0.000], [0.000, 3.078, 0.000], [0.000, 0.000, 15.163]],
  "species": ["Al", "Al", "Al", "Al", "Al", "Os", "Pd", "Pd", "Pd", "Pd"],
  "fractional_positions": [[0.500, 0.500, 0.093], [0.500, 0.500, 0.299], [0.500, 0.500, 0.500], [0.500, 0.500, 0.701], [0.500, 0.500, 0.907], [0.000, 0.000, 0.000], [0.000, 0.000, 0.199], [0.000, 0.000, 0.398], [0.000, 0.000, 0.602], [0.000, 0.000, 0.801]]
}


{
  "formula": "TmTl6Pd12",
  "functional": "PBE-GGA",
  "state": "relaxed",
  "dos_ef_per_ev_cell": 8.3,
  "mass_density_g_cm3": 12.04,
  "delta_e_f_mev_per_atom": -139.7,
  "volume_a3_per_atom": 19.40,
  "lattice_angstrom": [[7.378, -0.262, -0.314], [-1.378, 7.253, -0.314], [-1.378, -1.605, 7.080]],
  "species": ["Tm", "Tl", "Tl", "Tl", "Tl", "Tl", "Tl", "Pd", "Pd", "Pd", "Pd", "Pd", "Pd", "Pd", "Pd", "Pd", "Pd", "Pd", "Pd"],
  "fractional_positions": [[0.000, 0.000, 0.000], [0.800, 0.849, 0.547], [0.453, 0.200, 0.151], [0.151, 0.453, 0.200], [0.200, 0.151, 0.453], [0.547, 0.800, 0.849], [0.849, 0.547, 0.800], [0.816, 0.430, 0.387], [0.387, 0.816, 0.430], [0.430, 0.387, 0.816], [0.184, 0.570, 0.613], [0.613, 0.184, 0.570], [0.570, 0.613, 0.184], [0.980, 0.757, 0.254], [0.243, 0.746, 0.020], [0.746, 0.020, 0.243], [0.020, 0.243, 0.746], [0.757, 0.254, 0.980], [0.254, 0.980, 0.757]]
}


{
  "formula": "ZnH5",
  "functional": "PBE-GGA",
  "state": "relaxed",
  "dos_ef_per_ev_cell": 0.6,
  "total_energy_ev_per_cell": -14.36,
  "mass_density_g_cm3": 2.83,
  "volume_a3_per_atom": 6.90,
  "lattice_angstrom": [[3.441, 0.000, 0.000], [0.000, 2.273, 0.000], [0.000, -1.136, 5.292]],
  "species": ["H", "H", "H", "H", "H", "Zn"],
  "fractional_positions": [[0.500, 0.749, 0.498], [0.000, 0.626, 0.252], [0.500, 0.500, 0.000], [0.000, 0.374, 0.748], [0.500, 0.251, 0.502], [0.000, 0.000, 0.000]]
}


{
  "formula": "ZrTePdI2",
  "functional": "PBE-GGA",
  "state": "relaxed",
  "raw_formation_energy_ev_per_atom": 0.0961,
  "dos_ef_per_ev_cell": 11.1,
  "de_polymorph_mev_per_atom": 0.0,
  "mass_density_g_cm3": 5.23,
  "volume_a3_per_atom": 36.77,
  "lattice_angstrom": [[5.743, 0.000, 0.000], [0.000, 5.743, 0.000], [0.000, 0.000, 5.576]],
  "species": ["I", "I", "Te", "Zr", "Pd"],
  "fractional_positions": [[0.000, 0.500, 0.000], [0.500, 0.000, 0.000], [0.000, 0.000, 0.500], [0.000, 0.000, 0.000], [0.500, 0.500, 0.500]]
}


{
  "formula": "CdBr",
  "functional": "PBE-GGA",
  "state": "relaxed",
  "raw_formation_energy_ev_per_atom": -0.3017,
  "dos_ef_per_ev_cell": 1.8,
  "mass_density_g_cm3": 5.70,
  "volume_a3_per_atom": 28.03,
  "lattice_angstrom": [[3.569, 0.000, 0.000], [0.000, 3.569, 0.000], [0.000, 0.000, 8.804]],
  "species": ["Br", "Br", "Cd", "Cd"],
  "fractional_positions": [[0.000, 0.000, 0.936], [0.500, 0.500, 0.314], [0.000, 0.000, 0.497], [0.500, 0.500, 0.753]]
}


{
  "formula": "AcHo2Ni9",
  "functional": "PBE-GGA",
  "state": "relaxed",
  "dos_ef_per_ev_cell": 15.7,
  "mass_density_g_cm3": 10.03,
  "delta_e_f_mev_per_atom": -358.0,
  "volume_a3_per_atom": 14.98,
  "lattice_angstrom": [[4.843, 0.000, 1.441], [2.207, 4.311, 1.441], [0.066, 0.040, 8.636]],
  "species": ["Ac", "Ho", "Ho", "Ni", "Ni", "Ni", "Ni", "Ni", "Ni", "Ni", "Ni", "Ni"],
  "fractional_positions": [[0.000, 0.000, 0.000], [0.859, 0.859, 0.423], [0.141, 0.141, 0.577], [0.667, 0.667, 0.998], [0.333, 0.333, 0.002], [0.500, 0.500, 0.500], [0.415, 0.415, 0.254], [0.917, 0.415, 0.254], [0.415, 0.917, 0.254], [0.585, 0.585, 0.746], [0.585, 0.083, 0.746], [0.083, 0.585, 0.746]]
}


{
  "formula": "Ho6SnTe3P2",
  "functional": "PBE-GGA",
  "state": "relaxed",
  "raw_formation_energy_ev_per_atom": -1.3481,
  "dos_ef_per_ev_cell": 4.7,
  "mass_density_g_cm3": 7.99,
  "volume_a3_per_atom": 26.90,
  "lattice_angstrom": [[4.178, 0.000, 0.000], [0.000, 8.590, 0.217], [-2.089, -2.566, 8.930]],
  "species": ["Ho", "Ho", "Ho", "Ho", "Ho", "Ho", "Sn", "Te", "Te", "Te", "P", "P"],
  "fractional_positions": [[0.333, 0.884, 0.666], [0.677, 0.564, 0.354], [0.667, 0.116, 0.334], [0.013, 0.251, 0.025], [0.987, 0.749, 0.975], [0.323, 0.436, 0.646], [0.500, 0.000, 0.000], [0.500, 0.500, 0.000], [0.836, 0.167, 0.672], [0.164, 0.833, 0.328], [0.831, 0.661, 0.662], [0.169, 0.339, 0.338]]
}


{
  "formula": "Nd3Sb2Rh6",
  "functional": "PBE-GGA",
  "state": "relaxed",
  "raw_formation_energy_ev_per_atom": -0.7139,
  "dos_ef_per_ev_cell": 15.8,
  "mass_density_g_cm3": 9.73,
  "volume_a3_per_atom": 20.06,
  "lattice_angstrom": [[-7.276, 1.366, -3.769], [-0.638, -6.663, 4.921], [2.041, 6.632, 4.569]],
  "species": ["Nd", "Nd", "Nd", "Nd", "Nd", "Nd", "Sb", "Sb", "Sb", "Sb", "Rh", "Rh", "Rh", "Rh", "Rh", "Rh", "Rh", "Rh", "Rh", "Rh", "Rh", "Rh"],
  "fractional_positions": [[0.714, 0.000, 0.714], [0.286, 0.000, 0.286], [0.000, 0.286, 0.286], [0.000, 0.714, 0.714], [0.286, 0.286, 0.000], [0.714, 0.714, 0.000], [0.000, 0.500, 0.000], [0.500, 0.000, 0.000], [0.000, 0.000, 0.500], [0.500, 0.500, 0.500], [0.651, 0.301, 0.651], [0.651, 0.000, 0.349], [0.349, 0.000, 0.651], [0.349, 0.699, 0.349], [0.000, 0.651, 0.349], [0.699, 0.349, 0.349], [0.301, 0.651, 0.651], [0.000, 0.349, 0.651], [0.349, 0.651, 0.000], [0.651, 0.651, 0.301], [0.349, 0.349, 0.699], [0.651, 0.349, 0.000]]
}


{
  "formula": "Hf2Mn2Co",
  "functional": "PBE-GGA",
  "state": "relaxed",
  "dos_ef_per_ev_cell": 11.9,
  "mass_density_g_cm3": 11.41,
  "delta_e_f_mev_per_atom": -54.8,
  "volume_a3_per_atom": 15.30,
  "lattice_angstrom": [[-5.551, 2.586, -0.547], [-0.423, -2.126, -5.753], [-1.719, -3.396, 1.381]],
  "species": ["Co", "Co", "Mn", "Mn", "Mn", "Mn", "Hf", "Hf", "Hf", "Hf"],
  "fractional_positions": [[0.000, 0.000, 0.000], [0.500, 0.500, 0.000], [0.383, 0.883, 0.000], [0.883, 0.617, 0.000], [0.617, 0.117, 0.000], [0.117, 0.383, 0.000], [0.183, 0.683, 0.500], [0.683, 0.817, 0.500], [0.817, 0.317, 0.500], [0.317, 0.183, 0.500]]
}


{
  "formula": "SrBeI2N",
  "functional": "PBE-GGA",
  "state": "relaxed",
  "raw_formation_energy_ev_per_atom": 0.6873,
  "dos_ef_per_ev_cell": 2.0,
  "de_polymorph_mev_per_atom": 941.6,
  "mass_density_g_cm3": 2.88,
  "volume_a3_per_atom": 41.98,
  "lattice_angstrom": [[6.452, 0.000, 0.000], [0.000, 6.452, 0.000], [0.000, 0.000, 5.042]],
  "species": ["I", "I", "Sr", "Be", "N"],
  "fractional_positions": [[0.000, 0.500, 0.000], [0.500, 0.000, 0.000], [0.000, 0.000, 0.000], [0.500, 0.500, 0.500], [0.000, 0.000, 0.500]]
}


{
  "formula": "SrAsS3",
  "functional": "PBE-GGA",
  "state": "relaxed",
  "raw_formation_energy_ev_per_atom": -0.6598,
  "dos_ef_per_ev_cell": 3.2,
  "mass_density_g_cm3": 3.78,
  "volume_a3_per_atom": 22.72,
  "lattice_angstrom": [[4.843, 0.000, 0.000], [0.000, 4.843, 0.000], [0.000, 0.000, 4.843]],
  "species": ["Sr", "As", "S", "S", "S"],
  "fractional_positions": [[0.500, 0.500, 0.500], [0.000, 0.000, 0.000], [0.000, 0.500, 0.000], [0.000, 0.000, 0.500], [0.500, 0.000, 0.000]]
}